Version one
Computed, not measured: DyHfAl after structural relaxation at the PBE level of DFT.

The structure in POSCAR format:
```
DyHfAl
1.0
-3.8716 1.7132 -1.5311
-2.2293 -3.5274 1.6901
-0.8969 3.5643 6.2561
Hf Al Dy
2 2 2
direct
0.0000 0.5000 0.7636
0.5000 0.0000 0.2364
0.5000 0.5000 0.0000
0.0000 0.0000 0.0000
0.5000 0.0000 0.6965
0.0000 0.5000 0.3035
```

Values from the calculation:
Crystal system: tetragonal
V in Å³/cell: 147.1
N(E_F) in states/eV per cell: 4.566

=====

Version two
Computed, not measured: DyHfAl after structural relaxation at the PBE level of DFT.

The structure in POSCAR format:
```
DyHfAl
1.0
3.0044 0.0000 0.0000
0.0000 5.0347 0.0000
0.0000 -2.5174 4.3602
Hf Al Dy
1 1 1
direct
0.1658 0.3333 0.6667
0.6670 0.6667 0.3333
0.1672 0.0000 0.0000
```

Values from the calculation:
Crystal system: hexagonal
V in Å³/cell: 66.0
N(E_F) in states/eV per cell: 3.356

=====

Here is how they stack up, most stable first: version one, version two.

=====

Version one
Computed, not measured: Dy6Al2Hg after structural relaxation at the PBE level of DFT.

The structure in POSCAR format:
```
Dy6Al2Hg
1.0
-0.9954 2.6437 -4.1597
-6.7751 0.9222 2.2074
5.9180 4.5987 4.5490
Dy Al Hg
6 2 1
direct
0.1675 0.4174 0.3353
0.8325 0.0822 0.6647
0.8325 0.5826 0.6647
0.5000 0.2521 0.0000
0.1675 0.9178 0.3353
0.5000 0.7479 0.0000
0.6665 0.6667 0.3334
0.3335 0.3333 0.6666
0.0000 0.0000 0.0000
```

Values from the calculation:
Crystal system: orthorhombic
V in Å³/cell: 274.2
N(E_F) in states/eV per cell: 12.504

=====

Version two
Computed, not measured: Dy6Al2Hg after structural relaxation at the PBE level of DFT.

The structure in POSCAR format:
```
Dy6Al2Hg
1.0
-3.1672 7.8202 -1.9886
4.3608 -3.3285 -6.7117
-6.2738 -5.7098 1.7829
Dy Al Hg
12 4 2
direct
0.4518 0.2718 0.1800
0.5482 0.7282 0.8200
0.9082 0.7282 0.1800
0.0918 0.2718 0.8200
0.1991 0.7514 0.9505
0.8009 0.2486 0.0495
0.8009 0.7514 0.5523
0.1991 0.2486 0.4477
0.2889 0.9651 0.6762
0.7111 0.0349 0.3238
0.7111 0.3873 0.6762
0.2889 0.6127 0.3238
0.5000 0.3765 0.8765
0.5000 0.6235 0.1235
0.3592 0.0000 0.3592
0.6408 0.0000 0.6408
0.0000 0.5000 0.5000
0.0000 0.0000 0.0000
```

Values from the calculation:
Crystal system: orthorhombic
V in Å³/cell: 499.7
N(E_F) in states/eV per cell: 15.283

=====

Here is how they stack up, most stable first: version two, version one.

=====

Version one
Computed, not measured: Dy8AlHg2 after structural relaxation at the PBE level of DFT.

The structure in POSCAR format:
```
Dy8AlHg2
1.0
-0.4010 -3.2828 -4.0034
4.6434 -4.2574 3.0259
-7.9067 -0.9096 4.9055
Dy Al Hg
8 1 2
direct
0.4094 0.5433 0.8188
0.6646 0.9686 0.3292
0.8048 0.6949 0.6096
0.9770 0.2287 0.9540
0.1952 0.3051 0.3904
0.3354 0.0314 0.6708
0.5906 0.4567 0.1812
0.0230 0.7713 0.0460
0.5000 0.0000 0.0000
0.8153 0.2814 0.6306
0.1847 0.7186 0.3694
```

Values from the calculation:
Crystal system: monoclinic
V in Å³/cell: 312.3
N(E_F) in states/eV per cell: 8.877

=====

Version two
Computed, not measured: Dy8AlHg2 after structural relaxation at the PBE level of DFT.

The structure in POSCAR format:
```
Dy8AlHg2
1.0
-1.4624 -3.9148 2.7817
3.4029 -5.2332 -5.5761
5.3751 4.8027 5.0550
Dy Al Hg
8 1 2
direct
0.6591 0.8823 0.3181
0.3409 0.5642 0.6819
0.1333 0.1333 0.2667
0.0000 0.3124 0.0000
0.8667 0.8667 0.7333
0.6591 0.4358 0.3181
0.3409 0.1177 0.6819
0.0000 0.6876 0.0000
0.5000 0.0000 0.0000
0.1984 0.6984 0.3967
0.8016 0.3016 0.6033
```

Values from the calculation:
Crystal system: orthorhombic
V in Å³/cell: 307.9
N(E_F) in states/eV per cell: 10.486

=====

Here is how they stack up, most stable first: version one, version two.

=====

Version one
Computed, not measured: Dy2Al3Hg after structural relaxation at the PBE level of DFT.

The structure in POSCAR format:
```
Dy2Al3Hg
1.0
3.5592 0.0000 0.0000
0.0000 4.5923 0.0000
0.0000 0.0000 7.9903
Dy Al Hg
2 3 1
direct
0.0000 0.5000 0.9925
0.0000 0.0000 0.5082
0.5000 0.0000 0.8332
0.5000 0.0000 0.1628
0.5000 0.5000 0.6702
0.5000 0.5000 0.3331
```

Values from the calculation:
Crystal system: orthorhombic
V in Å³/cell: 130.6
N(E_F) in states/eV per cell: 2.659

=====

Version two
Computed, not measured: Dy2Al3Hg after structural relaxation at the PBE level of DFT.

The structure in POSCAR format:
```
Dy2Al3Hg
1.0
5.8076 -0.6096 0.0000
-0.8347 5.7795 0.0000
-2.4864 -2.5850 7.9425
Dy Al Hg
4 6 2
direct
0.2500 0.7500 0.5000
0.7494 0.7494 0.0000
0.7500 0.2500 0.5000
0.2506 0.2506 0.0000
0.3294 0.8352 0.1646
0.1648 0.6706 0.8354
0.6706 0.1648 0.8354
0.8352 0.3294 0.1646
0.1642 0.1642 0.3283
0.8358 0.8358 0.6717
0.6669 0.6669 0.3338
0.3331 0.3331 0.6662
```

Values from the calculation:
Crystal system: orthorhombic
V in Å³/cell: 262.6
N(E_F) in states/eV per cell: 6.787

=====

Here is how they stack up, most stable first: version one, version two.

=====

Version one
Computed, not measured: DyHoAlHg after structural relaxation at the PBE level of DFT.

The structure in POSCAR format:
```
DyHoAlHg
1.0
-0.6885 3.0281 1.8225
0.1543 -1.8292 3.0976
7.3970 1.4044 0.4609
Dy Ho Al Hg
1 1 1 1
direct
0.0000 0.0000 0.8466
0.0000 0.0000 0.3664
0.5000 0.5000 0.6054
0.5000 0.5000 0.1095
```

Values from the calculation:
Crystal system: tetragonal
V in Å³/cell: 97.8
N(E_F) in states/eV per cell: 2.707

=====

Version two
Computed, not measured: DyHoAlHg after structural relaxation at the PBE level of DFT.

The structure in POSCAR format:
```
DyHoAlHg
1.0
5.1949 0.0000 0.0000
2.5974 4.4989 0.0000
2.5974 1.4996 4.2416
Al Dy Hg Ho
1 1 1 1
direct
0.7500 0.7500 0.7500
0.5000 0.5000 0.5000
0.2500 0.2500 0.2500
0.0000 0.0000 0.0000
```

Values from the calculation:
Crystal system: cubic
V in Å³/cell: 99.1
N(E_F) in states/eV per cell: 4.358

=====

Here is how they stack up, most stable first: version one, version two.

=====

Version one
Computed, not measured: LaDyAlHg after structural relaxation at the PBE level of DFT.

The structure in POSCAR format:
```
LaDyAlHg
1.0
3.6663 0.0000 0.0000
0.0000 3.6663 0.0000
0.0000 0.0000 7.8761
La Dy Al Hg
1 1 1 1
direct
0.5000 0.5000 0.1239
0.5000 0.5000 0.5993
0.0000 0.0000 0.3752
0.0000 0.0000 0.8296
```

Values from the calculation:
Crystal system: tetragonal
V in Å³/cell: 105.9
N(E_F) in states/eV per cell: 2.451

=====

Version two
Computed, not measured: LaDyAlHg after structural relaxation at the PBE level of DFT.

The structure in POSCAR format:
```
LaDyAlHg
1.0
5.3557 0.0000 0.0000
2.6779 4.6382 0.0000
2.6779 1.5461 4.3729
Al La Hg Dy
1 1 1 1
direct
0.2500 0.2500 0.2500
0.5000 0.5000 0.5000
0.7500 0.7500 0.7500
0.0000 0.0000 0.0000
```

Values from the calculation:
Crystal system: cubic
V in Å³/cell: 108.6
N(E_F) in states/eV per cell: 5.268

=====

Here is how they stack up, most stable first: version one, version two.